# 1
{
  "formula": "SnBi2Pt",
  "functional": "PBE-GGA",
  "state": "relaxed",
  "cell": [[1.8766, 1.0835, 9.9983], [-1.8766, 1.0835, 9.9983], [0.0000, -2.1669, 9.9983]],
  "species": ["Sn", "Bi", "Bi", "Pt"],
  "frac_coords": [[0.0000, 0.0000, 0.0000], [0.1081, 0.1081, 0.1081], [0.8919, 0.8919, 0.8919], [0.5000, 0.5000, 0.5000]],
  "delta_e_f_ev_per_atom": -0.001,
  "n_ef_per_ev_cell": 2.05,
  "spacegroup": "R-3m (166)",
  "magnetic_moment_mub_per_cell": 0.0
}

=====

# 2
{
  "formula": "Sn12BiPt4",
  "functional": "PBE-GGA",
  "state": "relaxed",
  "cell": [[-4.8011, 4.8011, 4.8011], [4.8011, -4.8011, 4.8011], [4.8011, 4.8011, -4.8011]],
  "species": ["Sn", "Sn", "Sn", "Sn", "Sn", "Sn", "Sn", "Sn", "Sn", "Sn", "Sn", "Sn", "Bi", "Pt", "Pt", "Pt", "Pt"],
  "frac_coords": [[0.1543, 0.3332, 0.4875], [0.1543, 0.6668, 0.8211], [0.1789, 0.8457, 0.3332], [0.3332, 0.1789, 0.8457], [0.3332, 0.4875, 0.1543], [0.4875, 0.1543, 0.3332], [0.5125, 0.8457, 0.6668], [0.6668, 0.5125, 0.8457], [0.6668, 0.8211, 0.1543], [0.8211, 0.1543, 0.6668], [0.8457, 0.3332, 0.1789], [0.8457, 0.6668, 0.5125], [0.0000, 0.0000, 0.0000], [0.0000, 0.0000, 0.5000], [0.0000, 0.5000, 0.0000], [0.5000, 0.0000, 0.0000], [0.5000, 0.5000, 0.5000]],
  "delta_e_f_ev_per_atom": -0.261,
  "n_ef_per_ev_cell": 9.62,
  "spacegroup": "Im-3 (204)",
  "magnetic_moment_mub_per_cell": 0.0
}